Here is a relaxed structure of BeTeW2 from Alexandria via LeMat-Bulk. Energies are from GGA-PBE.

Cell: 6.8484 6.8484 6.8484 Å, 28.64 28.64 28.64°
Last column: nearest neighbours and their distance in Å.
Element x y z (fractional)
Te (0.7500, 0.7500, 0.7500)  6 W 2.92
Be (0.2500, 0.2500, 0.2500)  6 W 2.25
W (0.9735, 0.9735, 0.9735)  3 Be 2.25
W (0.5265, 0.5265, 0.5265)  3 Be 2.25

Values from the calculation:
ΔE to the lowest computed polymorph in meV per atom: 208
Formation energy (no corrections) in eV/atom: 0.515

Here is a relaxed structure of Ca2TeRu2 from Alexandria via LeMat-Bulk. Energies are from GGA-PBE.

Cell: 3.6412 3.6412 9.2397 Å, 78.64 78.64 90.00°
Last column: nearest neighbours and their distance in Å.
Element x y z (fractional)
Ca (0.6093, 0.6093, 0.7814)  4 Ru 3.09, 4 Te 3.22
Ca (0.3907, 0.3907, 0.2186)  4 Ru 3.09, 4 Te 3.22
Ru (0.7500, 0.2500, 0.5000)  4 Ru 2.57
Ru (0.2500, 0.7500, 0.5000)  4 Ru 2.57
Te (0.0000, 0.0000, 0.0000)  8 Ca 3.22

Values from the calculation:
ΔE to the lowest computed polymorph in meV per atom: 0
Formation energy (no corrections) in eV/atom: -0.244

Here is a relaxed structure of LiPuZnAu from Alexandria via LeMat-Bulk. Energies are from GGA-PBE.

Cell: 4.9115 4.9115 4.9115 Å, 60.00 60.00 60.00°
Last column: nearest neighbours and their distance in Å.
Element x y z (fractional)
Zn (0.0000, 0.0000, 0.0000)  4 Li 3.01, 4 Pu 3.01
Li (0.7500, 0.7500, 0.7500)  4 Au 3.01, 4 Zn 3.01
Pu (0.2500, 0.2500, 0.2500)  4 Zn 3.01, 4 Au 3.01
Au (0.5000, 0.5000, 0.5000)  4 Pu 3.01, 4 Li 3.01

Values from the calculation:
Energy of formation from the pure elements in meV per atom: -188

Here is a relaxed structure of YSb2Ir from Alexandria via LeMat-Bulk. Energies are from GGA-PBE.

Cell: 6.8277 6.8277 6.8277 Å, 149.53 139.34 51.65°
Last column: nearest neighbours and their distance in Å.
Element x y z (fractional)
Sb (0.0796, 0.0796, 0.0000)  2 Ir 2.76
Sb (0.4204, 0.4204, 0.0000)  2 Ir 2.76
Y (0.7500, 0.2500, 0.5000)  4 Ir 2.97, 4 Sb 3.16
Ir (0.2500, 0.7500, 0.5000)  4 Sb 2.76, 4 Y 2.97

Values from the calculation:
Formation energy (no corrections) in eV/atom: -0.390

Calculated volume (Å³/cell), listed in the same order as above: 65, 118, 84, 105
Calculated E_tot (eV for the cell shown), listed in the same order as above: -30.72, -26.92, -21.55, -25.13